1.
First-principles (SCAN) data for a crystal of MnHgCl2 relaxed with PBEsol, as listed in Alexandria via LeMat-Bulk.

## Properties
V = 83.1 Å³/f.u.
raw formation energy = -0.31 eV/atom
ΔE to the lowest computed polymorph = 362 meV per atom
SG = Pmmm, No. 47

Cell: 3.6544 4.1279 5.5071 Å, 90.00 90.00 90.00°
Fractional positions:
Mn (0.0000, 0.0000, 0.0000)
Hg (0.5000, 0.0000, 0.5000)
Cl (0.0000, 0.5000, 0.5000)
Cl (0.5000, 0.5000, 0.0000)


2.
First-principles (SCAN) data for a crystal of MnHgCl2 relaxed with PBEsol, as listed in Alexandria via LeMat-Bulk.

## Properties
V = 100.9 Å³/f.u.
raw formation energy = -0.67 eV/atom
ΔE to the lowest computed polymorph = 0 meV per atom
SG = R-3m, No. 166

Cell: 9.3738 9.3738 9.3738 Å, 21.95 21.95 21.95°
Fractional positions:
Mn (0.0000, 0.0000, 0.0000)
Hg (0.5000, 0.5000, 0.5000)
Cl (0.2820, 0.2820, 0.2820)
Cl (0.7180, 0.7180, 0.7180)


3.
First-principles (SCAN) data for a crystal of MnHgSbCl2 relaxed with PBEsol, as listed in Alexandria via LeMat-Bulk.

## Properties
V = 138.9 Å³/f.u.
raw formation energy = 0.35 eV/atom
SG = P4/mmm, No. 123

Cell: 4.9835 4.9835 5.5915 Å, 90.00 90.00 90.00°
Fractional positions:
Mn (0.0000, 0.0000, 0.0000)
Hg (0.0000, 0.0000, 0.5000)
Sb (0.5000, 0.5000, 0.0000)
Cl (0.0000, 0.5000, 0.5000)
Cl (0.5000, 0.0000, 0.5000)


4.
First-principles (SCAN) data for a crystal of HgMo2Cl relaxed with PBEsol, as listed in Alexandria via LeMat-Bulk.

## Properties
V = 68.8 Å³/f.u.
raw formation energy = 0.85 eV/atom
ΔE to the lowest computed polymorph = 146 meV per atom
SG = Pmmm, No. 47

Cell: 2.8213 4.7904 5.0888 Å, 90.00 90.00 90.00°
Fractional positions:
Hg (0.0000, 0.0000, 0.0000)
Mo (0.0000, 0.5000, 0.5000)
Mo (0.5000, 0.5000, 0.0000)
Cl (0.5000, 0.0000, 0.5000)